#w
Computed, not measured: a relaxed structure of AgTe3N at the GGA-PBE level of DFT.

POSCAR file:
```
AgTe3N
1.0
5.350 0.000 0.000
0.000 5.350 0.000
0.000 0.000 5.350
Te Ag N
3 1 1
Cartesian
0.000 2.675 0.000
0.000 0.000 2.675
2.675 0.000 0.000
0.000 0.000 0.000
2.675 2.675 2.675
```

## Properties
Total magnetization: 0.00 μB/cell

---

#x
Computed, not measured: a relaxed structure of AgTe3N at the GGA-PBE level of DFT.

POSCAR file:
```
AgTe3N
1.0
4.798 0.000 0.000
0.000 4.798 0.000
0.000 0.000 4.798
Te Ag N
3 1 1
Cartesian
0.000 2.399 0.000
0.000 0.000 2.399
2.399 0.000 0.000
2.399 2.399 2.399
0.000 0.000 0.000
```

## Properties
Total magnetization: 0.00 μB/cell

---

Stability summary - winner: #x; margin: 1.080 eV/atom.

---

#w
Computed, not measured: a relaxed structure of AgTe2N2 at the GGA-PBE level of DFT.

POSCAR file:
```
AgTe2N2
1.0
3.994 0.000 0.000
0.000 3.994 0.000
0.000 0.000 6.653
Te Ag N
2 1 2
Cartesian
0.000 0.000 0.000
0.000 0.000 3.327
1.997 1.997 3.327
0.000 1.997 0.000
1.997 0.000 0.000
```

## Properties
Total magnetization: 0.04 μB/cell

---

#x
Computed, not measured: a relaxed structure of AgTe2N2 at the GGA-PBE level of DFT.

POSCAR file:
```
AgTe2N2
1.0
1.631 -2.825 0.000
1.631 2.825 0.000
0.000 0.000 10.106
Ag Te N
1 2 2
Cartesian
0.000 0.000 0.000
1.631 -0.942 2.711
1.631 0.942 7.395
1.631 -0.942 4.910
1.631 0.942 5.196
```

## Properties
Total magnetization: 0.00 μB/cell

---

Stability summary - winner: #w; margin: 0.071 eV/atom.

---

#w
Computed, not measured: a relaxed structure of Ag3TeN at the GGA-PBE level of DFT.

POSCAR file:
```
Ag3TeN
1.0
-4.072 -1.850 0.691
1.806 -2.847 3.020
-0.800 2.992 3.300
Te Ag N
1 3 1
Cartesian
-1.533 -0.852 3.505
0.903 -1.424 1.510
-0.400 1.496 1.650
-2.036 -0.925 0.345
0.000 0.000 0.000
```

## Properties
Total magnetization: 0.00 μB/cell

---

#x
Computed, not measured: a relaxed structure of Ag3TeN at the GGA-PBE level of DFT.

POSCAR file:
```
Ag3TeN
1.0
5.366 0.000 0.000
0.000 5.366 0.000
0.000 0.000 5.366
Te Ag N
1 3 1
Cartesian
0.000 0.000 0.000
0.000 2.683 0.000
0.000 0.000 2.683
2.683 0.000 0.000
2.683 2.683 2.683
```

## Properties
Total magnetization: 2.03 μB/cell

---

Stability summary - winner: #w; margin: 0.692 eV/atom.

---

#w
Computed, not measured: a relaxed structure of TlAgTe2N at the GGA-PBE level of DFT.

POSCAR file:
```
TlAgTe2N
1.0
-3.849 -4.567 -0.494
2.328 -2.495 4.926
-2.770 2.079 2.362
Tl Te Ag N
1 2 1 1
Cartesian
0.000 0.000 0.000
1.164 -1.247 2.463
-1.924 -2.283 -0.247
-2.145 -2.491 3.397
-1.385 1.040 1.181
```

## Properties
Total magnetization: 2.25 μB/cell

---

#x
Computed, not measured: a relaxed structure of TlAgTe2N at the GGA-PBE level of DFT.

POSCAR file:
```
TlAgTe2N
1.0
-2.517 4.615 2.582
-2.975 -3.600 3.534
2.961 0.140 2.635
Tl Te Ag N
1 2 1 1
Cartesian
-1.266 0.578 4.376
-1.488 -1.800 1.767
-1.258 2.308 1.291
0.000 0.000 0.000
1.480 0.070 1.318
```

## Properties
Total magnetization: 1.60 μB/cell

---

Stability summary - winner: #x; margin: 0.366 eV/atom.

---

#w
Computed, not measured: a relaxed structure of AgTeWN2 at the GGA-PBE level of DFT.

POSCAR file:
```
AgTeWN2
1.0
-3.114 0.356 -2.395
-2.301 -1.649 2.747
-1.101 5.212 2.207
Te Ag W N
1 1 1 2
Cartesian
-0.551 2.606 1.103
-3.258 1.959 1.279
0.000 0.000 0.000
-1.150 -0.825 1.373
-1.557 0.178 -1.197
```

## Properties
Total magnetization: 0.00 μB/cell

---

#x
Computed, not measured: a relaxed structure of AgTeWN2 at the GGA-PBE level of DFT.

POSCAR file:
```
AgTeWN2
1.0
-1.438 3.298 1.802
-1.807 1.085 -3.428
-4.437 -2.740 1.472
Te Ag W N
1 1 1 2
Cartesian
-2.218 -1.370 0.736
0.000 0.000 0.000
-3.841 0.821 -0.077
-0.904 0.542 -1.714
-0.719 1.649 0.901
```

## Properties
Total magnetization: 0.00 μB/cell

---

Stability summary - winner: #w; margin: 2.171 eV/atom.

---

#w
Computed, not measured: a relaxed structure of ZnAgTe2N at the GGA-PBE level of DFT.

POSCAR file:
```
ZnAgTe2N
1.0
5.643 0.000 0.000
0.000 5.643 0.000
0.000 0.000 3.902
Zn Te Ag N
1 2 1 1
Cartesian
2.822 2.822 1.951
0.000 2.822 0.000
2.822 0.000 0.000
0.000 0.000 0.000
0.000 0.000 1.951
```

## Properties
Total magnetization: 1.17 μB/cell

---

#x
Computed, not measured: a relaxed structure of ZnAgTe2N at the GGA-PBE level of DFT.

POSCAR file:
```
ZnAgTe2N
1.0
5.785 0.000 0.000
0.000 5.785 0.000
0.000 0.000 3.545
Zn Te Ag N
1 2 1 1
Cartesian
0.000 0.000 0.000
0.000 2.892 0.000
2.892 0.000 0.000
2.892 2.892 1.773
0.000 0.000 1.773
```

## Properties
Total magnetization: 1.75 μB/cell

---

Stability summary - winner: #x; margin: 0.294 eV/atom.